[1]
# CeVHg

Crystalline CeVHg at its relaxed geometry (GGA-PBE, Alexandria via LeMat-Bulk).

a b c (Å): 8.921 8.770 4.195
angles (deg): 78.30 74.28 27.42
Sites, in units of the cell vectors:
Ce1 0.091 0.091 0.909
Ce2 0.909 0.909 0.091
V1 0.323 0.677 0.323
V2 0.677 0.323 0.677
Hg1 0.250 0.250 0.250
Hg2 0.750 0.750 0.750

Output
Formation enthalpy at 0 K ... 1.0 eV/f.u.

[2]
# Nd3Sm5Ho2

Crystalline Nd3Sm5Ho2 at its relaxed geometry (GGA-PBE, Alexandria via LeMat-Bulk).

a b c (Å): 10.032 10.032 10.032
angles (deg): 123.52 93.49 112.76
Sites, in units of the cell vectors:
Nd1 0.126 0.250 0.377
Nd2 0.250 0.250 0.000
Nd3 0.374 0.750 0.124
Nd4 0.626 0.250 0.876
Nd5 0.750 0.750 0.000
Nd6 0.874 0.750 0.623
Sm1 0.001 0.750 0.251
Sm2 0.122 0.599 0.721
Sm3 0.250 0.750 0.500
Sm4 0.378 0.099 0.477
Sm5 0.499 0.750 0.749
Sm6 0.501 0.250 0.251
Sm7 0.622 0.901 0.523
Sm8 0.750 0.250 0.500
Sm9 0.878 0.401 0.279
Sm10 0.999 0.250 0.749
Ho1 0.127 0.912 0.039
Ho2 0.373 0.412 0.786
Ho3 0.627 0.588 0.214
Ho4 0.873 0.088 0.961

Output
Formation enthalpy at 0 K ... 3.7 eV/f.u.
Distance to the lowest polymorph of the same formula ... 184.0 meV per atom

Question: Which value of formation enthalpy at 0 K does entry 2 give?
Answer: 3.7 eV/f.u.

Question: What is the formula in the first record?
Answer: CeVHg